# 1
VASP calculation (GGA-PBE) on crystalline ZrCuSi at its relaxed geometry.

* symmetry: Ima2 (46)
* raw formation energy: -0.477 eV/atom

Structure (POSCAR):
```
ZrCuSi
1.0
-2.020 3.633 3.233
2.020 -3.633 3.233
2.020 3.633 -3.233
Zr Cu Si
2 2 2
Cartesian
1.010 1.428 0.000 Zr
1.010 2.206 3.233 Zr
1.010 -0.638 2.048 Cu
1.010 4.271 -1.185 Cu
1.010 -0.727 4.596 Si
1.010 4.360 1.363 Si
```


# 2
VASP calculation (GGA-PBE) on crystalline Dy5Ge2Bi at its relaxed geometry.

* energy relative to the elements: -731 meV per atom
* symmetry: I4/mcm (140)

Structure (POSCAR):
```
Dy5Ge2Bi
1.0
-3.976 3.976 6.743
3.976 -3.976 6.743
3.976 3.976 -6.743
Dy Ge Bi
10 4 2
Cartesian
0.000 0.000 0.000 Dy
5.189 1.213 -1.886 Dy
1.213 2.763 -1.886 Dy
5.189 1.213 1.886 Dy
1.213 2.763 1.886 Dy
0.000 0.000 6.743 Dy
2.763 1.213 4.857 Dy
-1.213 2.763 4.857 Dy
2.763 1.213 8.630 Dy
-1.213 2.763 8.630 Dy
2.774 1.202 0.000 Ge
2.774 -1.202 6.743 Ge
1.202 5.178 0.000 Ge
1.202 2.774 6.743 Ge
0.000 0.000 3.372 Bi
0.000 0.000 10.115 Bi
```


# 3
VASP calculation (GGA-PBE) on crystalline LaGaNi4 at its relaxed geometry.

* energy relative to the elements: -264 meV per atom
* symmetry: Pmma (51)

Structure (POSCAR):
```
LaGaNi4
1.0
7.010 0.000 0.000
0.000 3.834 0.000
0.000 0.000 7.069
La Ga Ni
2 2 8
Cartesian
1.752 0.000 1.055 La
5.257 0.000 6.014 La
1.752 0.000 5.085 Ga
5.257 0.000 1.984 Ga
0.000 0.000 3.534 Ni
0.334 1.917 5.282 Ni
1.752 1.917 3.245 Ni
3.171 1.917 5.282 Ni
3.505 0.000 3.534 Ni
3.839 1.917 1.787 Ni
5.257 1.917 3.824 Ni
6.676 1.917 1.787 Ni
```


# 4
VASP calculation (GGA-PBE) on crystalline NaSn2Au2 at its relaxed geometry.

* offset from the most stable computed form: 0.03 eV per formula unit
* energy relative to the elements: -273 meV per atom
* symmetry: P2_1/m (11)

Structure (POSCAR):
```
NaSn2Au2
1.0
5.201 0.000 0.000
0.000 4.680 0.000
-2.090 0.000 10.437
Na Sn Au
2 4 4
Cartesian
0.605 1.170 2.733 Na
2.506 3.510 7.704 Na
-0.285 1.170 6.348 Sn
1.347 3.510 0.191 Sn
1.764 1.170 10.246 Sn
3.396 3.510 4.089 Sn
-0.849 1.170 9.038 Au
0.729 3.510 5.172 Au
2.382 1.170 5.265 Au
3.960 3.510 1.399 Au
```


# 5
VASP calculation (GGA-PBE) on crystalline LaPu2Sc at its relaxed geometry.

* offset from the most stable computed form: 0.00 eV per formula unit
* energy relative to the elements: 202 meV per atom
* symmetry: P4/mmm (123)

Structure (POSCAR):
```
LaPu2Sc
1.0
4.770 0.000 0.000
0.000 4.770 0.000
0.000 0.000 4.880
La Pu Sc
1 2 1
Cartesian
0.000 0.000 0.000 La
0.000 2.385 2.440 Pu
2.385 0.000 2.440 Pu
2.385 2.385 0.000 Sc
```


# 6
VASP calculation (GGA-PBE) on crystalline Be3PdPt at its relaxed geometry.

* offset from the most stable computed form: 0.00 eV per formula unit
* energy relative to the elements: 152 meV per atom
* symmetry: Pm-3m (221)

Structure (POSCAR):
```
Be3PdPt
1.0
4.182 0.000 0.000
0.000 4.182 0.000
0.000 0.000 4.182
Be Pd Pt
3 1 1
Cartesian
0.000 0.000 2.091 Be
0.000 2.091 0.000 Be
2.091 0.000 0.000 Be
2.091 2.091 2.091 Pd
0.000 0.000 0.000 Pt
```


# 7
VASP calculation (GGA-PBE) on crystalline Ca5Be3 at its relaxed geometry.

* energy relative to the elements: 370 meV per atom
* symmetry: Cm (8)

Structure (POSCAR):
```
Ca5Be3
1.0
3.051 -8.423 0.000
3.051 8.423 0.000
-3.038 0.000 8.407
Ca Be
10 6
Cartesian
0.000 0.000 0.000 Ca
1.532 5.289 1.747 Ca
1.532 6.679 5.286 Ca
1.531 1.747 3.130 Ca
1.531 3.132 6.670 Ca
3.053 0.000 0.010 Ca
1.531 -1.747 3.130 Ca
1.532 -5.289 1.747 Ca
1.531 -3.132 6.670 Ca
1.532 -6.679 5.286 Ca
0.005 4.210 4.208 Be
1.527 2.653 0.005 Be
1.527 -2.653 0.005 Be
0.005 -4.210 4.208 Be
1.532 0.000 5.752 Be
4.588 0.000 2.665 Be
```


# 8
VASP calculation (GGA-PBE) on crystalline Ac3Sm2Mg3 at its relaxed geometry.

* energy relative to the elements: -52 meV per atom
* symmetry: Immm (71)

Structure (POSCAR):
```
Ac3Sm2Mg3
1.0
-2.001 2.918 11.844
2.001 -2.918 11.844
2.001 2.918 -11.844
Ac Sm Mg
3 2 3
Cartesian
0.000 0.000 0.000 Ac
2.001 0.000 8.864 Ac
0.000 2.918 2.980 Ac
0.000 0.000 5.587 Sm
0.000 0.000 18.101 Sm
2.001 0.000 2.921 Mg
0.000 0.000 11.844 Mg
0.000 2.918 8.923 Mg
```


# 9
VASP calculation (GGA-PBE) on crystalline Ho5TlCu4 at its relaxed geometry.

* energy relative to the elements: -272 meV per atom
* symmetry: P4/mmm (123)

Structure (POSCAR):
```
Ho5TlCu4
1.0
3.466 0.000 0.000
0.000 3.466 0.000
0.000 0.000 18.198
Ho Tl Cu
5 1 4
Cartesian
0.000 0.000 0.000 Ho
0.000 0.000 3.451 Ho
0.000 0.000 6.892 Ho
0.000 0.000 11.305 Ho
0.000 0.000 14.746 Ho
1.733 1.733 9.099 Tl
1.733 1.733 1.727 Cu
1.733 1.733 5.191 Cu
1.733 1.733 13.007 Cu
1.733 1.733 16.471 Cu
```


# 10
VASP calculation (GGA-PBE) on crystalline OsPb2W at its relaxed geometry.

* offset from the most stable computed form: 3.57 eV per formula unit
* energy relative to the elements: 1271 meV per atom
* symmetry: P2/m (10)

Structure (POSCAR):
```
OsPb2W
1.0
3.120 0.000 0.000
0.000 4.564 0.000
-0.213 0.000 5.669
Os Pb W
1 2 1
Cartesian
0.000 0.000 0.000 Os
0.546 2.282 4.275 Pb
2.361 2.282 1.394 Pb
1.453 0.000 2.834 W
```


# 11
VASP calculation (GGA-PBE) on crystalline YHf2Ni2 at its relaxed geometry.

* offset from the most stable computed form: 0.80 eV per formula unit
* energy relative to the elements: -142 meV per atom
* symmetry: P4/mbm (127)

Structure (POSCAR):
```
YHf2Ni2
1.0
7.757 0.000 0.000
0.000 7.757 0.000
0.000 0.000 3.054
Y Hf Ni
2 4 4
Cartesian
0.000 0.000 0.000 Y
3.878 3.878 0.000 Y
1.134 2.744 0.000 Hf
2.744 6.623 0.000 Hf
5.013 1.134 0.000 Hf
6.623 5.013 0.000 Hf
1.109 4.987 1.527 Ni
2.770 1.109 1.527 Ni
4.987 6.648 1.527 Ni
6.648 2.770 1.527 Ni
```


# 12
VASP calculation (GGA-PBE) on crystalline Ni2PbBr at its relaxed geometry.

* offset from the most stable computed form: 1.49 eV per formula unit
* symmetry: Pmmm (47)
* raw formation energy: 0.449 eV/atom

Structure (POSCAR):
```
Ni2PbBr
1.0
3.578 0.000 0.000
0.000 3.682 0.000
0.000 0.000 5.919
Ni Pb Br
2 1 1
Cartesian
0.000 0.000 0.000 Ni
1.789 0.000 2.960 Ni
0.000 1.841 2.960 Pb
1.789 1.841 0.000 Br
```


# 13
VASP calculation (GGA-PBE) on crystalline Ce2SmGe2Au2 at its relaxed geometry.

* energy relative to the elements: -617 meV per atom
* symmetry: R-3m (166)

Structure (POSCAR):
```
Ce2SmGe2Au2
1.0
2.221 1.282 9.246
-2.221 1.282 9.246
0.000 -2.565 9.246
Ce Sm Ge Au
2 1 2 2
Cartesian
0.000 0.000 3.928 Ce
0.000 0.000 23.810 Ce
0.000 0.000 0.000 Sm
0.000 0.000 7.175 Ge
0.000 0.000 20.563 Ge
0.000 0.000 11.173 Au
0.000 0.000 16.565 Au
```


# 14
VASP calculation (GGA-PBE) on crystalline Zr2Nb2In at its relaxed geometry.

* offset from the most stable computed form: 0.93 eV per formula unit
* energy relative to the elements: 245 meV per atom
* symmetry: P4/mbm (127)

Structure (POSCAR):
```
Zr2Nb2In
1.0
7.626 0.000 0.000
0.000 7.626 0.000
0.000 0.000 3.711
Zr Nb In
4 4 2
Cartesian
1.033 2.779 0.000 Zr
2.779 6.592 0.000 Zr
4.846 1.033 0.000 Zr
6.592 4.846 0.000 Zr
1.273 5.085 1.856 Nb
2.540 1.273 1.856 Nb
5.085 6.353 1.856 Nb
6.353 2.540 1.856 Nb
0.000 0.000 0.000 In
3.813 3.813 0.000 In
```


# 15
VASP calculation (GGA-PBE) on crystalline YErScZn at its relaxed geometry.

* offset from the most stable computed form: 0.00 eV per formula unit
* energy relative to the elements: -146 meV per atom
* symmetry: P4mm (99)

Structure (POSCAR):
```
YErScZn
1.0
3.506 0.000 0.000
0.000 3.506 0.000
0.000 0.000 8.265
Y Er Sc Zn
1 1 1 1
Cartesian
0.000 0.000 0.000 Y
0.000 0.000 4.671 Er
1.753 1.753 2.365 Sc
1.753 1.753 6.431 Zn
```


# 16
VASP calculation (GGA-PBE) on crystalline CaHf3O at its relaxed geometry.

* offset from the most stable computed form: 0.00 eV per formula unit
* symmetry: Pm-3m (221)
* raw formation energy: -0.685 eV/atom

Structure (POSCAR):
```
CaHf3O
1.0
4.608 0.000 0.000
0.000 4.608 0.000
0.000 0.000 4.608
Ca Hf O
1 3 1
Cartesian
0.000 0.000 0.000 Ca
0.000 2.304 2.304 Hf
2.304 0.000 2.304 Hf
2.304 2.304 0.000 Hf
2.304 2.304 2.304 O
```


# 17
VASP calculation (GGA-PBE) on crystalline TcNi6Pt at its relaxed geometry.

* offset from the most stable computed form: 0.00 eV per formula unit
* energy relative to the elements: -15 meV per atom
* symmetry: Amm2 (38)

Structure (POSCAR):
```
TcNi6Pt
1.0
3.621 0.000 0.000
0.000 3.610 3.652
0.000 -3.610 3.652
Tc Ni Pt
1 6 1
Cartesian
0.000 0.000 0.000 Tc
0.000 -1.856 5.394 Ni
0.000 0.000 3.522 Ni
0.000 1.856 5.394 Ni
1.811 -1.814 3.586 Ni
1.811 0.000 1.757 Ni
1.811 1.814 3.586 Ni
1.811 0.000 5.389 Pt
```


# 18
VASP calculation (GGA-PBE) on crystalline Hf2AlPd2 at its relaxed geometry.

* energy relative to the elements: -656 meV per atom
* symmetry: P4/mbm (127)

Structure (POSCAR):
```
Hf2AlPd2
1.0
7.356 0.000 0.000
0.000 7.356 0.000
0.000 0.000 3.405
Hf Al Pd
4 2 4
Cartesian
1.250 2.429 0.000 Hf
2.429 6.107 0.000 Hf
4.928 1.250 0.000 Hf
6.107 4.928 0.000 Hf
0.000 0.000 1.702 Al
3.678 3.678 1.702 Al
0.970 4.648 1.702 Pd
2.709 0.970 1.702 Pd
4.648 6.387 1.702 Pd
6.387 2.709 1.702 Pd
```


# 19
VASP calculation (GGA-PBE) on crystalline Ac3Mg2Pd6 at its relaxed geometry.

* energy relative to the elements: -740 meV per atom
* symmetry: Im-3m (229)

Structure (POSCAR):
```
Ac3Mg2Pd6
1.0
-5.018 5.018 5.018
5.018 -5.018 5.018
5.018 5.018 -5.018
Ac Mg Pd
6 4 12
Cartesian
3.039 0.000 0.000 Ac
6.997 0.000 0.000 Ac
0.000 3.039 0.000 Ac
0.000 0.000 3.039 Ac
0.000 6.997 0.000 Ac
0.000 0.000 6.997 Ac
2.509 2.509 -2.509 Mg
2.509 -2.509 2.509 Mg
-2.509 2.509 2.509 Mg
2.509 2.509 2.509 Mg
5.018 1.696 -1.696 Pd
5.018 -1.696 1.696 Pd
1.696 5.018 -1.696 Pd
3.322 3.322 0.000 Pd
3.322 0.000 3.322 Pd
1.696 -1.696 5.018 Pd
5.018 1.696 1.696 Pd
0.000 3.322 3.322 Pd
-1.696 5.018 1.696 Pd
-1.696 1.696 5.018 Pd
1.696 5.018 1.696 Pd
1.696 1.696 5.018 Pd
```


# 20
VASP calculation (GGA-PBE) on crystalline CuIrS2 at its relaxed geometry.

* symmetry: Pc (7)
* raw formation energy: -0.172 eV/atom

Structure (POSCAR):
```
CuIrS2
1.0
3.831 0.000 0.000
0.000 6.254 0.000
-1.170 0.000 5.536
Cu Ir S
2 2 4
Cartesian
0.000 0.046 0.000 Cu
-0.585 6.208 2.768 Cu
1.547 3.037 1.559 Ir
0.962 3.217 4.327 Ir
-0.357 2.194 2.669 S
-0.942 4.060 5.437 S
1.917 1.198 0.060 S
1.332 5.056 2.829 S
```